Record 1
This record from Alexandria via LeMat-Bulk describes a relaxed SrB4Pt12 crystal. The functional is PBE-GGA.

## Properties
- energy of formation (kJ/mol of atoms) = -21
- energy (eV per atom) = -6.16

```
data_SrB4Pt12
_cell_length_a 8.004
_cell_length_b 8.004
_cell_length_c 8.004
_cell_angle_alpha 90.00
_cell_angle_beta 90.00
_cell_angle_gamma 90.00
_symmetry_space_group_name_H-M 'I m -3'
_symmetry_Int_Tables_number 204
_symmetry_space_group_name_Hall '-I 2 2 3'
loop_
_atom_site_label
_atom_site_fract_x
_atom_site_fract_y
_atom_site_fract_z
_atom_site_occupancy
Sr1 0.000 0.000 0.000 1
B1 0.250 0.250 0.250 1
Pt1 0.000 0.182 0.327 1
```



Record 2
This record from Alexandria via LeMat-Bulk describes a relaxed Ac2AsCl crystal. The functional is PBE-GGA.

## Properties
- E_form (uncorrected) (eV/atom) = -1.4713
- energy above the most stable polymorph in this dataset (meV/atom) = 56
- energy (eV per atom) = -5.15

```
data_Ac2AsCl
_cell_length_a 4.3822
_cell_length_b 4.3822
_cell_length_c 23.4423
_cell_angle_alpha 90.00
_cell_angle_beta 90.00
_cell_angle_gamma 120.00
_symmetry_space_group_name_H-M 'R 3 m'
_symmetry_Int_Tables_number 160
_symmetry_space_group_name_Hall 'R 3 -2"'
loop_
_atom_site_label
_atom_site_fract_x
_atom_site_fract_y
_atom_site_fract_z
_atom_site_occupancy
Ac1 0.0000 0.0000 0.0000 1
Ac2 0.0000 0.0000 0.1854 1
As1 0.0000 0.0000 0.5910 1
Cl1 0.0000 0.0000 0.7608 1
```